Entry 1:
Entry from the Alexandria database: a geometry-optimized PmNd12Ho7 structure (PBE-GGA).

Properties
The energy above the most stable polymorph in this dataset is 0.000 eV/f.u. The density of states at the Fermi level is 1.7215 states/eV per atom. As for the formation enthalpy at 0 K: 0.1502 eV per atom.

The structure in CIF format:
```
data_PmNd12Ho7
_chemical_formula_sum 'Pm3 Nd36 Ho21'
_symmetry_space_group_name_H-M 'R -3'
_symmetry_Int_Tables_number 148
_symmetry_space_group_name_Hall '-R 3'
_cell_length_a 15.2653
_cell_length_b 15.2653
_cell_length_c 10.1605
_cell_angle_alpha 90.00
_cell_angle_beta 90.00
_cell_angle_gamma 120.00
loop_
_atom_site_label
_atom_site_type_symbol
_atom_site_fract_x
_atom_site_fract_y
_atom_site_fract_z
_atom_site_occupancy
Pm1 Pm 0.0000 0.0000 0.0000 1
Nd1 Nd 0.0442 0.2001 0.2518 1
Nd2 Nd 0.0464 0.2482 0.5766 1
Ho1 Ho 0.0000 0.0000 0.5000 1
Ho2 Ho 0.0663 0.2455 0.9256 1
```

Entry 2:
Entry from the Alexandria database: a geometry-optimized Pm3Nd4Ho8 structure (PBE-GGA).

Properties
The density of states at the Fermi level is 2.0532 states/eV per atom. As for the formation enthalpy at 0 K: 0.3594 eV per atom.

The structure in CIF format:
```
data_Pm3Nd4Ho8
_chemical_formula_sum 'Pm6 Nd8 Ho16'
_symmetry_space_group_name_H-M 'C 1 2/m 1'
_symmetry_Int_Tables_number 12
_cell_length_a 13.481
_cell_length_b 12.874
_cell_length_c 6.791
_cell_angle_alpha 90.00
_cell_angle_beta 120.19
_cell_angle_gamma 90.00
loop_
_symmetry_equiv_pos_as_xyz
'x,y,z'
'-x,-y,-z'
'-x,y,-z'
'x,-y,z'
'x+1/2,y+1/2,z'
'-x+1/2,-y+1/2,-z'
'-x+1/2,y+1/2,-z'
'x+1/2,-y+1/2,z'
loop_
_atom_site_label
_atom_site_type_symbol
_atom_site_fract_x
_atom_site_fract_y
_atom_site_fract_z
_atom_site_occupancy
Pm1 Pm 0.000 0.000 0.000 1
Pm2 Pm 0.250 0.250 0.500 1
Nd1 Nd 0.000 0.500 0.000 1
Nd2 Nd 0.000 0.500 0.500 1
Nd3 Nd 0.250 0.250 0.000 1
Ho1 Ho 0.000 0.140 0.500 1
Ho2 Ho 0.000 0.243 0.000 1
Ho3 Ho 0.231 0.000 0.970 1
Ho4 Ho 0.232 0.000 0.492 1
```

Entry 3:
Entry from the Alexandria database: a geometry-optimized PmNd6Ho4 structure (PBE-GGA).

Properties
The energy above the most stable polymorph in this dataset is 0.000 eV/f.u. The density of states at the Fermi level is 1.4020 states/eV per atom. As for the formation enthalpy at 0 K: 0.1487 eV per atom.

The structure in CIF format:
```
data_PmNd6Ho4
_chemical_formula_sum 'Pm1 Nd6 Ho4'
_symmetry_space_group_name_H-M 'P -6 m 2'
_symmetry_Int_Tables_number 187
_symmetry_space_group_name_Hall 'P -6 2'
_cell_length_a 11.1086
_cell_length_b 11.1086
_cell_length_c 3.5872
_cell_angle_alpha 90.00
_cell_angle_beta 90.00
_cell_angle_gamma 120.00
loop_
_atom_site_label
_atom_site_type_symbol
_atom_site_fract_x
_atom_site_fract_y
_atom_site_fract_z
_atom_site_occupancy
Pm1 Pm 0.0000 0.0000 0.0000 1
Nd1 Nd 0.1823 0.3647 0.5000 1
Nd2 Nd 0.5240 0.0479 0.0000 1
Ho1 Ho 0.3215 0.1608 0.5000 1
Ho2 Ho 0.3333 0.6667 0.0000 1
```

Entry 4:
Entry from the Alexandria database: a geometry-optimized Pm9NdHo2 structure (PBE-GGA).

Properties
The energy above the most stable polymorph in this dataset is 0.190 eV/f.u. The density of states at the Fermi level is 1.1665 states/eV per atom. As for the formation enthalpy at 0 K: 0.0328 eV per atom.

The structure in CIF format:
```
data_Pm9NdHo2
_chemical_formula_sum 'Pm9 Nd1 Ho2'
_symmetry_space_group_name_H-M 'P 6/m m m'
_symmetry_Int_Tables_number 191
_symmetry_space_group_name_Hall '-P 6 2'
_cell_length_a 11.4765
_cell_length_b 11.4765
_cell_length_c 3.5685
_cell_angle_alpha 90.00
_cell_angle_beta 90.00
_cell_angle_gamma 120.00
loop_
_atom_site_label
_atom_site_type_symbol
_atom_site_fract_x
_atom_site_fract_y
_atom_site_fract_z
_atom_site_occupancy
Pm1 Pm 0.0000 0.5000 0.0000 1
Pm2 Pm 0.1765 0.3530 0.5000 1
Nd1 Nd 0.0000 0.0000 0.0000 1
Ho1 Ho 0.3333 0.6667 0.0000 1
```

Entry 5:
Entry from the Alexandria database: a geometry-optimized Pm7Nd4Ho structure (PBE-GGA).

Properties
The energy above the most stable polymorph in this dataset is 2.419 eV/f.u. The density of states at the Fermi level is 1.5586 states/eV per atom. As for the formation enthalpy at 0 K: 0.2140 eV per atom.

The structure in CIF format:
```
data_Pm7Nd4Ho
_chemical_formula_sum 'Pm14 Nd8 Ho2'
_symmetry_space_group_name_H-M 'C 1 2/m 1'
_symmetry_Int_Tables_number 12
_cell_length_a 16.451
_cell_length_b 6.067
_cell_length_c 9.390
_cell_angle_alpha 90.00
_cell_angle_beta 116.11
_cell_angle_gamma 90.00
loop_
_symmetry_equiv_pos_as_xyz
'x,y,z'
'-x,-y,-z'
'-x,y,-z'
'x,-y,z'
'x+1/2,y+1/2,z'
'-x+1/2,-y+1/2,-z'
'-x+1/2,y+1/2,-z'
'x+1/2,-y+1/2,z'
loop_
_atom_site_label
_atom_site_type_symbol
_atom_site_fract_x
_atom_site_fract_y
_atom_site_fract_z
_atom_site_occupancy
Pm1 Pm 0.000 0.000 0.000 1
Pm2 Pm 0.081 0.500 0.435 1
Pm3 Pm 0.207 0.500 0.223 1
Pm4 Pm 0.209 0.500 0.875 1
Nd1 Nd 0.075 0.000 0.701 1
Nd2 Nd 0.174 0.000 0.388 1
Ho1 Ho 0.000 0.500 0.000 1
```

Entry 6:
Entry from the Alexandria database: a geometry-optimized PmNd5Ho5 structure (PBE-GGA).

Properties
The energy above the most stable polymorph in this dataset is 1.217 eV/f.u. The density of states at the Fermi level is 1.6428 states/eV per atom. As for the formation enthalpy at 0 K: 0.2542 eV per atom.

The structure in CIF format:
```
data_PmNd5Ho5
_chemical_formula_sum 'Pm2 Nd10 Ho10'
_symmetry_space_group_name_H-M 'C 1 2/m 1'
_symmetry_Int_Tables_number 12
_cell_length_a 18.998
_cell_length_b 6.009
_cell_length_c 7.050
_cell_angle_alpha 90.00
_cell_angle_beta 111.51
_cell_angle_gamma 90.00
loop_
_symmetry_equiv_pos_as_xyz
'x,y,z'
'-x,-y,-z'
'-x,y,-z'
'x,-y,z'
'x+1/2,y+1/2,z'
'-x+1/2,-y+1/2,-z'
'-x+1/2,y+1/2,-z'
'x+1/2,-y+1/2,z'
loop_
_atom_site_label
_atom_site_type_symbol
_atom_site_fract_x
_atom_site_fract_y
_atom_site_fract_z
_atom_site_occupancy
Pm1 Pm 0.000 0.000 0.000 1
Nd1 Nd 0.000 0.500 0.000 1
Nd2 Nd 0.176 0.000 0.421 1
Nd3 Nd 0.176 0.000 0.933 1
Ho1 Ho 0.000 0.000 0.500 1
Ho2 Ho 0.123 0.500 0.625 1
Ho3 Ho 0.170 0.500 0.171 1
```